[1]
# KSb2Os PBE optimized geometry
data_KSb2Os
_chemical_formula_sum 'K1 Sb2 Os1'
_symmetry_space_group_name_H-M 'P 1'
_symmetry_Int_Tables_number 1
_cell_length_a 4.3625
_cell_length_b 4.3625
_cell_length_c 7.9771
_cell_angle_alpha 81.50
_cell_angle_beta 81.50
_cell_angle_gamma 45.36
loop_
_symmetry_equiv_pos_as_xyz
'x,y,z'
loop_
_atom_site_label
_atom_site_type_symbol
_atom_site_fract_x
_atom_site_fract_y
_atom_site_fract_z
_atom_site_occupancy
K1 K 0.7500 0.7500 0.7500 1
Os1 Os 0.2500 0.2500 0.2500 1
Sb1 Sb 0.9797 0.9797 0.0787 1
Sb2 Sb 0.5203 0.5203 0.4213 1
# * symmetry: No. 12
# * uncorrected formation energy: 0.06 eV per atom

=====

[2]
# AgBH2Cl PBE optimized geometry
data_AgBH2Cl
_chemical_formula_sum 'Ag1 B1 H2 Cl1'
_symmetry_space_group_name_H-M 'P 1'
_symmetry_Int_Tables_number 1
_cell_length_a 3.4896
_cell_length_b 6.7826
_cell_length_c 3.4896
_cell_angle_alpha 90.00
_cell_angle_beta 90.00
_cell_angle_gamma 90.00
loop_
_symmetry_equiv_pos_as_xyz
'x,y,z'
loop_
_atom_site_label
_atom_site_type_symbol
_atom_site_fract_x
_atom_site_fract_y
_atom_site_fract_z
_atom_site_occupancy
H1 H 0.0000 0.0000 0.5000 1
H2 H 0.5000 0.0000 0.0000 1
B1 B 0.5000 0.5000 0.5000 1
Ag1 Ag 0.0000 0.0000 0.0000 1
Cl1 Cl 0.0000 0.5000 0.0000 1
# * symmetry: No. 123
# * E_tot: -2.698 eV per atom

=====

[3]
# UGa5Os PBE optimized geometry
data_UGa5Os
_chemical_formula_sum 'U1 Ga5 Os1'
_symmetry_space_group_name_H-M 'P 1'
_symmetry_Int_Tables_number 1
_cell_length_a 4.3888
_cell_length_b 4.3888
_cell_length_c 6.6836
_cell_angle_alpha 90.00
_cell_angle_beta 90.00
_cell_angle_gamma 90.00
loop_
_symmetry_equiv_pos_as_xyz
'x,y,z'
loop_
_atom_site_label
_atom_site_type_symbol
_atom_site_fract_x
_atom_site_fract_y
_atom_site_fract_z
_atom_site_occupancy
Os1 Os 0.0000 0.0000 0.5000 1
U1 U 0.0000 0.0000 0.0000 1
Ga1 Ga 0.5000 0.5000 0.0000 1
Ga2 Ga 0.5000 0.0000 0.6995 1
Ga3 Ga 0.0000 0.5000 0.6995 1
Ga4 Ga 0.5000 0.0000 0.3005 1
Ga5 Ga 0.0000 0.5000 0.3005 1
# * symmetry: No. 123
# * ΔE_f: -0.282 eV/atom

=====

- What is the formula in the first record?
  KSb2Os